[1]
The following is a DFT calculation (GGA-PBE) of a relaxed HgPdCl2 crystal.

extended XYZ file:
```
4
Lattice="1.838 0.000 10.350 -0.919 1.592 10.350 -0.919 -1.592 10.350" Properties=species:S:1:pos:R:3 pbc="T T T"
Hg 0.000 0.000 15.525
Pd 0.000 0.000 0.000
Cl 0.000 0.000 28.807
Cl 0.000 0.000 2.243
```

The density of states at the Fermi level is 4.6 states/eV/f.u. The value obtained for the energy relative to the lowest polymorph listed for this composition is 0.224 eV/atom. The raw formation energy comes out at -0.021 eV per atom.


[2]
The following is a DFT calculation (GGA-PBE) of a relaxed NaTe2IrI crystal.

extended XYZ file:
```
5
Lattice="-4.186 -2.844 1.452 3.142 -3.242 2.709 -0.631 3.352 4.743" Properties=species:S:1:pos:R:3 pbc="T T T"
I -0.316 1.676 2.372
Na -0.838 -1.367 4.452
Ir 0.000 0.000 0.000
Te 1.571 -1.621 1.355
Te -2.093 -1.422 0.726
```

The density of states at the Fermi level is 5.7 states/eV/f.u. The value obtained for the energy relative to the lowest polymorph listed for this composition is 0.000 eV/atom. The raw formation energy comes out at 0.043 eV per atom.


[3]
The following is a DFT calculation (GGA-PBE) of a relaxed CsBe3Tl crystal.

extended XYZ file:
```
5
Lattice="6.018 0.000 0.000 0.000 6.018 0.000 0.000 0.000 6.018" Properties=species:S:1:pos:R:3 pbc="T T T"
Cs 0.000 0.000 0.000
Be 0.000 3.009 0.000
Be 0.000 0.000 3.009
Be 3.009 0.000 0.000
Tl 3.009 3.009 3.009
```

For the formation energy, the calculation gives 2167 meV per atom. The density of states at the Fermi level is 4.3 states/eV/f.u. The value obtained for the energy relative to the lowest polymorph listed for this composition is 0.989 eV/atom.


[4]
The following is a DFT calculation (GGA-PBE) of a relaxed Dy2Ga3Ag crystal.

extended XYZ file:
```
12
Lattice="5.739 -0.474 0.000 -0.696 5.716 0.000 -2.521 -2.621 7.757" Properties=species:S:1:pos:R:3 pbc="T T T"
Dy -0.348 2.858 3.878
Dy 3.753 3.902 0.000
Dy 2.869 -0.237 3.878
Dy 1.289 1.340 0.000
Ga 0.892 4.188 1.278
Ga -1.629 1.567 6.479
Ga 1.629 -1.567 6.479
Ga 4.151 1.054 1.278
Ga 0.000 0.000 2.542
Ga 2.521 2.621 5.215
Ag 2.521 2.621 2.607
Ag 0.000 0.000 5.150
```

For the formation energy, the calculation gives -573 meV per atom. The density of states at the Fermi level is 3.3 states/eV/f.u. The value obtained for the energy relative to the lowest polymorph listed for this composition is 0.000 eV/atom.


[5]
The following is a DFT calculation (GGA-PBE) of a relaxed TbCe2Dy crystal.

extended XYZ file:
```
4
Lattice="-2.236 -2.006 -1.773 0.704 -3.381 -0.493 -5.984 -4.366 9.051" Properties=species:S:1:pos:R:3 pbc="T T T"
Tb -3.778 -4.886 3.429
Ce -4.614 -3.722 6.597
Ce -1.882 -2.440 1.703
Dy -6.982 -7.946 7.500
```

For the formation energy, the calculation gives 94 meV per atom. The density of states at the Fermi level is 10.0 states/eV/f.u. The value obtained for the energy relative to the lowest polymorph listed for this composition is 0.004 eV/atom.


[6]
The following is a DFT calculation (GGA-PBE) of a relaxed Mg3VPb crystal.

extended XYZ file:
```
5
Lattice="5.400 0.000 0.000 0.000 5.400 0.000 0.000 0.000 5.400" Properties=species:S:1:pos:R:3 pbc="T T T"
Pb 0.000 0.000 0.000
Mg 0.000 2.700 0.000
Mg 0.000 0.000 2.700
Mg 2.700 0.000 0.000
V 2.700 2.700 2.700
```

For the formation energy, the calculation gives 959 meV per atom. The density of states at the Fermi level is 9.6 states/eV/f.u. The value obtained for the energy relative to the lowest polymorph listed for this composition is 0.215 eV/atom.


[7]
The following is a DFT calculation (GGA-PBE) of a relaxed KNbPS2 crystal.

extended XYZ file:
```
5
Lattice="5.029 0.000 0.000 0.000 5.029 0.000 0.000 0.000 4.912" Properties=species:S:1:pos:R:3 pbc="T T T"
S 0.000 2.515 0.000
S 2.515 0.000 0.000
P 0.000 0.000 2.456
Nb 2.515 2.515 2.456
K 0.000 0.000 0.000
```

The density of states at the Fermi level is 11.0 states/eV/f.u. The value obtained for the energy relative to the lowest polymorph listed for this composition is 2.458 eV/atom. The raw formation energy comes out at 1.860 eV per atom.


[8]
The following is a DFT calculation (GGA-PBE) of a relaxed HfTaTiVGa crystal.

extended XYZ file:
```
10
Lattice="-7.208 -5.136 -6.520 2.301 0.077 -2.604 2.188 -3.635 1.826" Properties=species:S:1:pos:R:3 pbc="T T T"
Ti -1.320 -2.626 -1.244
Ti 0.924 -4.405 -1.633
V 0.738 -2.994 0.564
V 0.794 -1.138 -1.651
Hf -3.876 -5.433 -3.584
Hf -3.820 -3.577 -5.800
Ga -1.438 -5.833 -1.443
Ga -1.382 -3.977 -3.658
Ta -6.364 -5.053 -5.772
Ta -4.120 -6.832 -6.160
```

For the formation energy, the calculation gives -48 meV per atom. The density of states at the Fermi level is 5.2 states/eV/f.u. The value obtained for the energy relative to the lowest polymorph listed for this composition is 0.142 eV/atom.


What did the first record say?
The following is a DFT calculation (GGA-PBE) of a relaxed HgPdCl2 crystal.

extended XYZ file:
```
4
Lattice="1.838 0.000 10.350 -0.919 1.592 10.350 -0.919 -1.592 10.350" Properties=species:S:1:pos:R:3 pbc="T T T"
Hg 0.000 0.000 15.525
Pd 0.000 0.000 0.000
Cl 0.000 0.000 28.807
Cl 0.000 0.000 2.243
```

The density of states at the Fermi level is 4.6 states/eV/f.u. The value obtained for the energy relative to the lowest polymorph listed for this composition is 0.224 eV/atom. The raw formation energy comes out at -0.021 eV per atom.


What is the formula in the fourth record? Dy2Ga3Ag